[1]
GGA-PBE LaRe3I, relaxed; offset from the most stable computed form = 26.87 kcal/mol of atoms; SG = Pm-3m, No. 221
1.0
4.9890 0.0000 0.0000
0.0000 4.9890 0.0000
0.0000 0.0000 4.9890
Re I La
3 1 1
direct
0.0000 0.0000 0.5000 Re
0.0000 0.5000 0.0000 Re
0.5000 0.0000 0.0000 Re
0.5000 0.5000 0.5000 I
0.0000 0.0000 0.0000 La



[2]
GGA-PBE LaScRe2I, relaxed; SG = P4/mmm, No. 123
1.0
4.9264 0.0000 0.0000
0.0000 5.5722 0.0000
0.0000 0.0000 4.9264
I Sc Re La
1 1 2 1
direct
0.0000 0.0000 0.0000 I
0.5000 0.5000 0.5000 Sc
0.5000 0.0000 0.0000 Re
0.0000 0.0000 0.5000 Re
0.0000 0.5000 0.0000 La



Raw formation energy per entry: 3196 1711 meV per atom
Final energy per entry: -5.57 -5.83 eV/atom